# 1
Compound: CaPm2Er
Source: Alexandria
Functional: PBE
Structure: optimized geometry

a b c (Å): 3.648 3.648 10.463
angles (deg): 90.00 90.00 90.00
Element x y z (fractional)
Ca  0.000  0.000  0.500
Pm  0.500  0.500  0.233
Pm  0.500  0.500  0.767
Er  0.000  0.000  0.000

- relative energy among the computed polymorphs (eV/atom) = 0.0094
- electronic total energy (eV/cell) = -15.9
- ΔE_f (eV per atom) = 0.050

# 2
Compound: NbAgTe4
Source: Alexandria
Functional: PBE
Structure: optimized geometry

a b c (Å): 6.710 7.078 7.078
angles (deg): 99.62 99.26 99.26
Element x y z (fractional)
Nb  0.750  0.001  0.999
Nb  0.250  0.999  0.001
Ag  0.250  0.430  0.569
Ag  0.750  0.570  0.431
Te  0.080  0.327  0.158
Te  0.016  0.877  0.298
Te  0.420  0.842  0.673
Te  0.580  0.158  0.327
Te  0.920  0.673  0.842
Te  0.516  0.298  0.877
Te  0.484  0.702  0.123
Te  0.984  0.123  0.702

- relative energy among the computed polymorphs (eV/atom) = 0.0000
- electronic total energy (eV/cell) = -53.3
- formation energy without anion corrections (meV/atom) = -193

# 3
Compound: BeCr2
Source: Alexandria
Functional: PBE
Structure: optimized geometry

a b c (Å): 4.632 4.632 4.632
angles (deg): 60.00 60.00 60.00
Element x y z (fractional)
Be  0.500  0.500  0.500
Be  0.750  0.750  0.750
Cr  0.625  0.125  0.125
Cr  0.125  0.625  0.125
Cr  0.125  0.125  0.625
Cr  0.125  0.125  0.125

- electronic total energy (eV/cell) = -42.8
- ΔE_f (eV per atom) = 0.518

# 4
Compound: PrNd3HoEr
Source: Alexandria
Functional: PBE
Structure: optimized geometry

a b c (Å): 5.835 10.763 6.818
angles (deg): 91.20 90.00 105.73
Element x y z (fractional)
Pr  0.352  0.705  0.974
Pr  0.648  0.295  0.026
Nd  0.841  0.682  0.245
Nd  0.780  0.560  0.726
Nd  0.483  0.965  0.250
Nd  0.220  0.440  0.274
Nd  0.517  0.035  0.750
Nd  0.159  0.318  0.755
Ho  0.059  0.119  0.268
Ho  0.941  0.881  0.732
Er  0.641  0.282  0.479
Er  0.359  0.718  0.521

- electronic total energy (eV/cell) = -54.2
- ΔE_f (eV per atom) = 0.189

# 5
Compound: AcPr9Pb2
Source: Alexandria
Functional: PBE
Structure: optimized geometry

a b c (Å): 5.084 5.084 15.758
angles (deg): 90.00 90.00 90.00
Element x y z (fractional)
Ac  0.000  0.000  0.000
Pr  0.500  0.500  0.000
Pr  0.500  0.500  0.342
Pr  0.500  0.500  0.658
Pr  0.500  0.000  0.179
Pr  0.500  0.000  0.500
Pr  0.500  0.000  0.821
Pr  0.000  0.500  0.179
Pr  0.000  0.500  0.500
Pr  0.000  0.500  0.821
Pb  0.000  0.000  0.339
Pb  0.000  0.000  0.661

- electronic total energy (eV/cell) = -57.0
- ΔE_f (eV per atom) = -0.204

# 6
Compound: LiAc2Cu2Pd5
Source: Alexandria
Functional: PBE
Structure: optimized geometry

a b c (Å): 4.029 9.755 9.755
angles (deg): 90.00 90.00 90.00
Element x y z (fractional)
Li  0.000  0.000  0.000
Li  0.000  0.500  0.500
Ac  0.000  0.682  0.182
Ac  0.000  0.318  0.818
Ac  0.000  0.182  0.318
Ac  0.000  0.818  0.682
Cu  0.000  0.115  0.615
Cu  0.000  0.885  0.385
Cu  0.000  0.615  0.885
Cu  0.000  0.385  0.115
Pd  0.500  0.207  0.062
Pd  0.500  0.793  0.938
Pd  0.500  0.062  0.793
Pd  0.500  0.707  0.438
Pd  0.500  0.938  0.207
Pd  0.500  0.293  0.562
Pd  0.500  0.562  0.707
Pd  0.500  0.438  0.293
Pd  0.500  0.500  0.000
Pd  0.500  0.000  0.500

- electronic total energy (eV/cell) = -99.5
- ΔE_f (eV per atom) = -0.544

# 7
Compound: MgVGe
Source: Alexandria
Functional: PBE
Structure: optimized geometry

a b c (Å): 3.333 4.647 7.185
angles (deg): 100.38 90.02 69.11
Element x y z (fractional)
Mg  0.623  0.870  0.151
Mg  0.947  0.224  0.909
Ge  0.689  0.737  0.733
Ge  0.881  0.356  0.327
V  0.427  0.266  0.590
V  0.144  0.828  0.470

- electronic total energy (eV/cell) = -31.1
- ΔE_f (eV per atom) = -0.077

# 8
Compound: SmDyGe2
Source: Alexandria
Functional: PBE
Structure: optimized geometry

a b c (Å): 4.348 4.004 5.844
angles (deg): 90.00 111.84 90.00
Element x y z (fractional)
Sm  0.445  0.500  0.428
Dy  0.720  0.000  0.979
Ge  0.167  0.500  0.874
Ge  0.999  0.000  0.537

- electronic total energy (eV/cell) = -22.0
- ΔE_f (eV per atom) = -0.864

# 9
Compound: ZnCuBr
Source: Alexandria
Functional: PBE
Structure: optimized geometry

a b c (Å): 6.068 6.068 6.068
angles (deg): 148.71 148.71 44.84
Element x y z (fractional)
Br  0.034  0.034  0.000
Cu  0.679  0.679  0.000
Zn  0.286  0.286  0.000

- relative energy among the computed polymorphs (eV/atom) = 0.1940
- electronic total energy (eV/cell) = -6.5
- formation energy without anion corrections (meV/atom) = 181

# 10
Compound: TiAg3
Source: Alexandria
Functional: PBE
Structure: optimized geometry

a b c (Å): 2.835 5.094 5.694
angles (deg): 116.57 104.41 90.00
Element x y z (fractional)
Ag  0.250  0.596  0.500
Ag  0.500  0.490  0.000
Ag  0.750  0.096  0.500
Ti  0.000  0.985  0.000

- electronic total energy (eV/cell) = -15.8
- ΔE_f (eV per atom) = 0.171

# 11
Compound: MgMnSb2I
Source: Alexandria
Functional: PBE
Structure: optimized geometry

a b c (Å): 5.420 5.420 5.661
angles (deg): 90.00 90.00 90.00
Last column: magnetic moment on the atom in μB.
Element x y z (fractional)
I  0.000  0.000  0.500  -0.05
Sb  0.000  0.500  0.000  -0.14
Sb  0.500  0.000  0.000  -0.14
Mg  0.000  0.000  0.000  0.01
Mn  0.500  0.500  0.500  4.49

- relative energy among the computed polymorphs (eV/atom) = 0.3451
- electronic total energy (eV/cell) = -17.1
- formation energy without anion corrections (meV/atom) = 692

# 12
Compound: OF
Source: Alexandria
Functional: PBE
Structure: optimized geometry

a b c (Å): 3.147 3.682 5.424
angles (deg): 90.00 121.67 90.00
Last column: magnetic moment on the atom in μB.
Element x y z (fractional)
O  0.077  0.250  0.481  0.09
O  0.923  0.750  0.519  0.09
F  0.070  0.750  0.811  0.01
F  0.930  0.250  0.189  0.01

- relative energy among the computed polymorphs (eV/atom) = 0.5415
- electronic total energy (eV/cell) = -12.1
- formation energy without anion corrections (meV/atom) = 396